No. 1
SrNbAs | GGA-PBE | relaxed

abc: 4.0247 4.0247 10.4139
angles: 101.14 101.14 90.00
Closest atoms and distances in Å follow each position.
Fractional coordinates of all 6 atoms:
As (0.0940, 0.0940, 0.1880)  4 Nb 2.76
As (0.9060, 0.9060, 0.8120)  4 Nb 2.76
Sr (0.3425, 0.3425, 0.6850)  4 As 3.12
Sr (0.6575, 0.6575, 0.3150)  4 As 3.12
Nb (0.5000, 0.0000, 0.0000)  4 As 2.76, 4 Nb 2.85
Nb (0.0000, 0.5000, 0.0000)  4 As 2.76, 4 Nb 2.85

Values from the calculation:
ρ (g/cm³): 5.2
Space-group type: I4/mmm, No. 139
Formation energy from the elements (meV per atom): -660.1

No. 2
Li3ZnGa2 | GGA-PBE | relaxed

abc: 4.4412 5.8505 7.1293
angles: 100.50 90.00 90.00
Closest atoms and distances in Å follow each position.
Fractional coordinates of all 12 atoms:
Li (0.2500, 0.0522, 0.2078)  4 Li 2.67-2.80, 5 Ga 2.73-2.95, 3 Zn 2.75-2.88
Li (0.7500, 0.9478, 0.7922)  4 Li 2.67-2.80, 5 Ga 2.73-2.95, 3 Zn 2.75-2.88
Li (0.2500, 0.2171, 0.8829)  4 Li 2.67-2.75, 4 Ga 2.73-2.84, 3 Zn 2.83-2.86
Li (0.7500, 0.7829, 0.1171)  4 Li 2.67-2.75, 4 Ga 2.73-2.84, 3 Zn 2.83-2.86
Li (0.7500, 0.6171, 0.4547)  1 Zn 2.68, 7 Ga 2.71-2.93, 4 Li 2.75-2.80
Li (0.2500, 0.3829, 0.5453)  1 Zn 2.68, 7 Ga 2.71-2.93, 4 Li 2.75-2.80
Zn (0.7500, 0.2972, 0.1332)  8 Li 2.68-2.99, 4 Ga 2.69-2.73
Zn (0.2500, 0.7028, 0.8668)  8 Li 2.68-2.99, 4 Ga 2.69-2.73
Ga (0.7500, 0.4437, 0.7914)  3 Zn 2.69-2.73, 8 Li 2.73-2.95, 1 Ga 2.75
Ga (0.2500, 0.5563, 0.2086)  3 Zn 2.69-2.73, 8 Li 2.73-2.95, 1 Ga 2.75
Ga (0.2500, 0.8827, 0.5395)  8 Li 2.71-2.93, 3 Ga 2.72-2.75, 1 Zn 2.73
Ga (0.7500, 0.1173, 0.4605)  8 Li 2.71-2.93, 3 Ga 2.72-2.75, 1 Zn 2.73

Values from the calculation:
ρ (g/cm³): 4.1
Space-group type: P2_1/m, No. 11
Formation energy from the elements (meV per atom): -278.8

No. 3
CaGeN2 | GGA-PBE | relaxed

abc: 3.7018 3.7018 7.7529
angles: 90.00 90.00 90.00
Closest atoms and distances in Å follow each position.
Fractional coordinates of all 8 atoms:
Ca (0.0000, 0.5000, 0.1409)  1 N 2.33
Ca (0.5000, 0.0000, 0.8591)  1 N 2.33
Ge (0.0000, 0.5000, 0.6050)  5 N 1.83-2.02
Ge (0.5000, 0.0000, 0.3950)  5 N 1.83-2.02
N (0.0000, 0.0000, 0.5000)  4 Ge 2.02
N (0.5000, 0.5000, 0.5000)  4 Ge 2.02
N (0.0000, 0.5000, 0.8407)  1 Ge 1.83
N (0.5000, 0.0000, 0.1593)  1 Ge 1.83

Values from the calculation:
ρ (g/cm³): 4.4
Space-group type: P4/nmm, No. 129
DFT total energy (eV per atom): -6.251